Compound: Mn5Co
Source: Alexandria via LeMat-Bulk
Functional: PBEsol
Structure: optimized geometry

The energy above the most stable polymorph in this dataset is 0 kJ/mol of formula units. For the total DFT energy (no corrections), the calculation gives -0.69203 Ry/atom. The crystal system is hexagonal. The calculation puts the formation energy at 0.01 eV per atom.

The structure belongs to space group P-62m (No. 189); the cell edges are 4.2495, 4.2495 and 3.9061 Å and the angles 90.00°, 90.00° and 120.00°. Symmetry generates all atoms from Mn at (0.0000, 0.6682, 0.0000), Mn at (0.3333, 0.6667, 0.5000) and Co at (0.0000, 0.0000, 0.5000).

Compound: CdIn2Se
Source: Alexandria via LeMat-Bulk
Functional: PBEsol
Structure: optimized geometry

The energy above the most stable polymorph in this dataset is 20 kJ/mol of formula units. For the total DFT energy (no corrections), the calculation gives -0.20695 Ry/atom. Its formation energy without anion corrections is -0.062 eV/atom. The crystal system is tetragonal.

The structure belongs to space group I4/mmm (No. 139); the cell edges are 4.2142, 4.2142 and 10.7529 Å and the angles 90.00°, 90.00° and 90.00°. Symmetry generates all atoms from Cd at (0.0000, 0.0000, 0.0000), In at (0.0000, 0.5000, 0.2500) and Se at (0.0000, 0.0000, 0.5000).

Compound: MoIr2Rh
Source: Alexandria via LeMat-Bulk
Functional: PBEsol
Structure: optimized geometry

The energy above the most stable polymorph in this dataset is 75 kJ/mol of formula units. For the total DFT energy (no corrections), the calculation gives -0.73193 Ry/atom. The crystal system is trigonal. The calculation puts the formation energy at -0.07 eV per atom.

The structure belongs to space group R3m (No. 160, hexagonal axes); the cell edges are 2.7099, 2.7099 and 26.7320 Å and the angles 90.00°, 90.00° and 120.00°. Symmetry generates all atoms from Mo at (0.0000, 0.0000, 0.0000), Ir at (0.0000, 0.0000, 0.5006), Ir at (0.0000, 0.0000, 0.7495) and Rh at (0.0000, 0.0000, 0.2509).

Compound: Cr2ReBr
Source: Alexandria via LeMat-Bulk
Functional: PBEsol
Structure: optimized geometry

The energy above the most stable polymorph in this dataset is 63 kJ/mol of formula units. For the total DFT energy (no corrections), the calculation gives -0.57842 Ry/atom. Its formation energy without anion corrections is 1.052 eV/atom. The crystal system is tetragonal.

The structure belongs to space group I-4m2 (No. 119); the cell edges are 3.5790, 3.5790 and 8.8915 Å and the angles 90.00°, 90.00° and 90.00°. Symmetry generates all atoms from Cr at (0.0000, 0.0000, 0.0000), Cr at (0.0000, 0.5000, 0.2500), Re at (0.0000, 0.0000, 0.5000) and Br at (0.0000, 0.5000, 0.7500).

Compound: Li3MnAl2O6
Source: Alexandria via LeMat-Bulk
Functional: PBEsol
Structure: optimized geometry

For the total DFT energy (no corrections), the calculation gives -0.51531 Ry/atom. Its formation energy without anion corrections is -2.399 eV/atom. The crystal system is triclinic.

The structure belongs to space group P-1 (No. 2); the cell edges are 5.2162, 5.8186 and 7.7255 Å and the angles 89.56°, 79.58° and 89.34°. Symmetry generates all atoms from Li at (0.0024, 0.1613, 0.2564), Li at (0.1638, 0.6644, 0.4174), Li at (0.3288, 0.8453, 0.0978), Mn at (0.4958, 0.3278, 0.2399), Al at (0.1608, 0.3248, 0.9177), Al at (0.3295, 0.1675, 0.5853), O at (0.0255, 0.1770, 0.7527), O at (0.1706, 0.6409, 0.9214), O at (0.1990, 0.3206, 0.4149), O at (0.3225, 0.1828, 0.0737), O at (0.3460, 0.8520, 0.5793) and O at (0.4760, 0.3316, 0.7418).

Compound: LaMn3In
Source: Alexandria via LeMat-Bulk
Functional: PBEsol
Structure: optimized geometry

For the total DFT energy (no corrections), the calculation gives -0.47860 Ry/atom. The crystal system is cubic. The calculation puts the formation energy at 1.01 eV per atom.

The structure belongs to space group Pm-3m (No. 221); the cell edges are 4.9474, 4.9474 and 4.9474 Å and the angles 90.00°, 90.00° and 90.00°. Symmetry generates all atoms from La at (0.0000, 0.0000, 0.0000), Mn at (0.0000, 0.5000, 0.5000) and In at (0.5000, 0.5000, 0.5000).

Compound: AlTc2Ag
Source: Alexandria via LeMat-Bulk
Functional: PBEsol
Structure: optimized geometry

For the total DFT energy (no corrections), the calculation gives -0.53647 Ry/atom. The crystal system is orthorhombic. The calculation puts the formation energy at 0.18 eV per atom.

The structure belongs to space group Immm (No. 71); the cell edges are 3.0265, 4.2737 and 9.0479 Å and the angles 90.00°, 90.00° and 90.00°. Symmetry generates all atoms from Al at (0.0000, 0.0000, 0.0000), Tc at (0.0000, 0.5000, 0.2618) and Ag at (0.0000, 0.0000, 0.5000).

Compound: SrPb2Au
Source: Alexandria via LeMat-Bulk
Functional: PBEsol
Structure: optimized geometry

For the total DFT energy (no corrections), the calculation gives -0.27102 Ry/atom. The crystal system is cubic. The calculation puts the formation energy at -0.25 eV per atom.

The structure belongs to space group Fm-3m (No. 225); the cell edges are 7.4972, 7.4972 and 7.4972 Å and the angles 90.00°, 90.00° and 90.00°. Symmetry generates all atoms from Sr at (0.0000, 0.0000, 0.0000), Pb at (0.2500, 0.2500, 0.2500) and Au at (0.0000, 0.0000, 0.5000).

Compound: Zr4Ag5
Source: Alexandria via LeMat-Bulk
Functional: PBEsol
Structure: optimized geometry

For the total DFT energy (no corrections), the calculation gives -0.43384 Ry/atom. The crystal system is tetragonal. The calculation puts the formation energy at -0.02 eV per atom.

The structure belongs to space group I4/mmm (No. 139); the cell edges are 8.8013, 8.8013 and 4.4587 Å and the angles 90.00°, 90.00° and 90.00°. Symmetry generates all atoms from Zr at (0.0000, 0.3271, 0.0000), Ag at (0.0000, 0.0000, 0.0000) and Ag at (0.1660, 0.1660, 0.5000).

Compound: La2Sn2Pb
Source: Alexandria via LeMat-Bulk
Functional: PBEsol
Structure: optimized geometry

For the total DFT energy (no corrections), the calculation gives -0.37658 Ry/atom. The crystal system is tetragonal. The calculation puts the formation energy at -0.48 eV per atom.

The structure belongs to space group I4/mmm (No. 139); the cell edges are 4.1231, 4.1231 and 18.3713 Å and the angles 90.00°, 90.00° and 90.00°. Symmetry generates all atoms from La at (0.0000, 0.0000, 0.1055), Sn at (0.0000, 0.5000, 0.2500) and Pb at (0.0000, 0.0000, 0.5000).

Compound: KAgH3
Source: Alexandria via LeMat-Bulk
Functional: PBEsol
Structure: optimized geometry

For the total DFT energy (no corrections), the calculation gives -0.21168 Ry/atom. The crystal system is cubic.

The structure belongs to space group Pm-3m (No. 221); the cell edges are 3.8431, 3.8431 and 3.8431 Å and the angles 90.00°, 90.00° and 90.00°. Symmetry generates all atoms from K at (0.0000, 0.0000, 0.0000), Ag at (0.5000, 0.5000, 0.5000) and H at (0.0000, 0.5000, 0.5000).

Compound: MnWBr2
Source: Alexandria via LeMat-Bulk
Functional: PBEsol
Structure: optimized geometry

The energy above the most stable polymorph in this dataset is 263 kJ/mol of formula units. For the total DFT energy (no corrections), the calculation gives -0.43697 Ry/atom. Its formation energy without anion corrections is 0.882 eV/atom. The crystal system is orthorhombic.

The structure belongs to space group Cmmm (No. 65); the cell edges are 3.0145, 5.6694 and 9.2252 Å and the angles 90.00°, 90.00° and 90.00°. Symmetry generates all atoms from Mn at (0.0000, 0.0000, 0.0000), W at (0.0000, 0.0000, 0.5000) and Br at (0.0000, 0.5000, 0.2731).